Record 1
# FeSnTeN2 PBE optimized geometry
data_FeSnTeN2
_cell_length_a 4.070
_cell_length_b 4.070
_cell_length_c 6.268
_cell_angle_alpha 90.00
_cell_angle_beta 90.00
_cell_angle_gamma 90.00
_space_group_name_H-M_alt 'P 4/m m m'
_space_group_IT_number 123
_space_group_name_Hall '-P 4 2'
loop_
_atom_site_label
_atom_site_fract_x
_atom_site_fract_y
_atom_site_fract_z
Fe1 0.000 0.000 0.000
Sn1 0.500 0.500 0.500
Te1 0.500 0.500 0.000
N1 0.000 0.500 0.500
# - energy above the most stable polymorph in this dataset (eV/f.u.) = 2.118

***

Record 2
# FeSnTeN2 PBE optimized geometry
data_FeSnTeN2
_cell_length_a 3.937
_cell_length_b 3.937
_cell_length_c 5.257
_cell_angle_alpha 90.00
_cell_angle_beta 90.00
_cell_angle_gamma 90.00
_space_group_name_H-M_alt 'P 4/m m m'
_space_group_IT_number 123
_space_group_name_Hall '-P 4 2'
loop_
_atom_site_label
_atom_site_fract_x
_atom_site_fract_y
_atom_site_fract_z
Fe1 0.000 0.000 0.000
Sn1 0.500 0.500 0.500
Te1 0.000 0.000 0.500
N1 0.000 0.500 0.000
# - energy above the most stable polymorph in this dataset (eV/f.u.) = 0.000

***

Record 3
TiFe2SnN: optimized geometry, PBE.

Cell and atoms, written as CIF:
```
data_TiFe2SnN
_cell_length_a 3.959
_cell_length_b 3.959
_cell_length_c 4.130
_cell_angle_alpha 90.00
_cell_angle_beta 90.00
_cell_angle_gamma 90.00
_space_group_name_H-M_alt 'P 4/m m m'
_space_group_IT_number 123
_space_group_name_Hall '-P 4 2'
loop_
_atom_site_label
_atom_site_fract_x
_atom_site_fract_y
_atom_site_fract_z
Ti1 0.000 0.000 0.000
Fe1 0.000 0.500 0.500
Sn1 0.500 0.500 0.000
N1 0.000 0.000 0.500
```

***

Record 4
VFe2SnN: optimized geometry, PBE.

Cell and atoms, written as CIF:
```
data_VFe2SnN
_cell_length_a 3.932
_cell_length_b 3.932
_cell_length_c 3.971
_cell_angle_alpha 90.00
_cell_angle_beta 90.00
_cell_angle_gamma 90.00
_space_group_name_H-M_alt 'P 4/m m m'
_space_group_IT_number 123
_space_group_name_Hall '-P 4 2'
loop_
_atom_site_label
_atom_site_fract_x
_atom_site_fract_y
_atom_site_fract_z
V1 0.000 0.000 0.000
Fe1 0.000 0.500 0.500
Sn1 0.500 0.500 0.000
N1 0.000 0.000 0.500
```

***

Record 5
V2FeSnN: optimized geometry, PBE.

Cell and atoms, written as CIF:
```
data_V2FeSnN
_cell_length_a 3.992
_cell_length_b 3.992
_cell_length_c 3.976
_cell_angle_alpha 90.00
_cell_angle_beta 90.00
_cell_angle_gamma 90.00
_space_group_name_H-M_alt 'P 4/m m m'
_space_group_IT_number 123
_space_group_name_Hall '-P 4 2'
loop_
_atom_site_label
_atom_site_fract_x
_atom_site_fract_y
_atom_site_fract_z
V1 0.000 0.500 0.000
Fe1 0.000 0.000 0.500
Sn1 0.500 0.500 0.500
N1 0.000 0.000 0.000
```

***

Record 6
# Sr3Fe2N4 PBE optimized geometry
data_Sr3Fe2N4
_cell_length_a 5.856
_cell_length_b 9.911
_cell_length_c 9.520
_cell_angle_alpha 90.00
_cell_angle_beta 90.00
_cell_angle_gamma 90.00
_space_group_name_H-M_alt 'P n n a'
_space_group_IT_number 52
loop_
_space_group_symop_operation_xyz
'x,y,z'
'-x,-y,-z'
'-x+1/2,-y,z'
'x+1/2,y,-z'
'x,-y+1/2,-z+1/2'
'-x,y+1/2,z+1/2'
'-x+1/2,y+1/2,-z+1/2'
'x+1/2,-y+1/2,z+1/2'
loop_
_atom_site_label
_atom_site_fract_x
_atom_site_fract_y
_atom_site_fract_z
Sr1 0.111 0.157 0.085
Sr2 0.250 0.000 0.402
Fe1 0.150 0.250 0.750
Fe2 0.250 0.000 0.733
N1 0.015 0.088 0.830
N2 0.140 0.643 0.871
# - energy above the most stable polymorph in this dataset (eV/f.u.) = 0.000

***

| no. | raw formation energy (eV per atom) | volume (Å³ per cell) |
| --- | --- | --- |
| 1 | 1.4871 | 103.8 |
| 2 | 1.0635 | 81.5 |
| 3 | -0.3714 | 64.7 |
| 4 | -0.2415 | 61.4 |
| 5 | -0.3814 | 63.4 |
| 6 | -0.4732 | 552.5 |